Record 1
VASP calculation (PBE-GGA) on a geometry-optimized Tb2DyAu4 structure.

## Properties
E_tot: -63.8 eV/cell
size of the total moment: 0.000 μB/atom
mass density: 12.1 g/cm³
formation energy: -0.705 eV per atom

CIF file:
```
data_Tb2DyAu4
_chemical_formula_sum 'Tb4 Dy2 Au8'
_symmetry_space_group_name_H-M 'I 4/m m m'
_symmetry_Int_Tables_number 139
_symmetry_space_group_name_Hall '-I 4 2'
_cell_length_a 5.179
_cell_length_b 5.179
_cell_length_c 12.956
_cell_angle_alpha 90.00
_cell_angle_beta 90.00
_cell_angle_gamma 90.00
loop_
_atom_site_label
_atom_site_type_symbol
_atom_site_fract_x
_atom_site_fract_y
_atom_site_fract_z
Tb1 Tb 0.000 0.000 0.226
Dy1 Dy 0.000 0.000 0.500
Au1 Au 0.000 0.500 0.120
```

Record 2
VASP calculation (PBE-GGA) on a geometry-optimized ScV2SiP structure.

## Properties
offset from the most stable computed form: 0 meV/atom
E_tot: -35.1 eV/cell
size of the total moment: 0.653 μB/atom
mass density: 3.7 g/cm³

CIF file:
```
data_ScV2SiP
_chemical_formula_sum 'Sc1 V2 Si1 P1'
_symmetry_space_group_name_H-M 'P 4/m m m'
_symmetry_Int_Tables_number 123
_symmetry_space_group_name_Hall '-P 4 2'
_cell_length_a 4.388
_cell_length_b 4.388
_cell_length_c 4.741
_cell_angle_alpha 90.00
_cell_angle_beta 90.00
_cell_angle_gamma 90.00
loop_
_atom_site_label
_atom_site_type_symbol
_atom_site_fract_x
_atom_site_fract_y
_atom_site_fract_z
Sc1 Sc 0.000 0.000 0.000
V1 V 0.000 0.500 0.500
Si1 Si 0.500 0.500 0.000
P1 P 0.000 0.000 0.500
```

Record 3
VASP calculation (PBE-GGA) on a geometry-optimized Ti6GePd12 structure.

## Properties
E_tot: -371.6 eV/cell
size of the total moment: 0.009 μB/atom
mass density: 9.2 g/cm³
formation energy: -0.504 eV per atom

CIF file:
```
data_Ti6GePd12
_chemical_formula_sum 'Ti18 Ge3 Pd36'
_symmetry_space_group_name_H-M 'R -3'
_symmetry_Int_Tables_number 148
_symmetry_space_group_name_Hall '-R 3'
_cell_length_a 12.2033
_cell_length_b 12.2033
_cell_length_c 6.8527
_cell_angle_alpha 90.00
_cell_angle_beta 90.00
_cell_angle_gamma 120.00
loop_
_atom_site_label
_atom_site_type_symbol
_atom_site_fract_x
_atom_site_fract_y
_atom_site_fract_z
Ti1 Ti 0.0233 0.2668 0.3515
Ge1 Ge 0.0000 0.0000 0.0000
Pd1 Pd 0.0074 0.1384 0.6658
Pd2 Pd 0.0657 0.5596 0.6713
```

Record 4
VASP calculation (PBE-GGA) on a geometry-optimized SrUSe3 structure.

## Properties
offset from the most stable computed form: 109 meV/atom
E_tot: -121.6 eV/cell
size of the total moment: 0.400 μB/atom
mass density: 5.6 g/cm³

CIF file:
```
data_SrUSe3
_chemical_formula_sum 'Sr4 U4 Se12'
_symmetry_space_group_name_H-M 'C 1 2/m 1'
_symmetry_Int_Tables_number 12
_symmetry_space_group_name_Hall '-C 2y'
_cell_length_a 14.858
_cell_length_b 5.336
_cell_length_c 8.559
_cell_angle_alpha 90.00
_cell_angle_beta 97.98
_cell_angle_gamma 90.00
loop_
_atom_site_label
_atom_site_type_symbol
_atom_site_fract_x
_atom_site_fract_y
_atom_site_fract_z
Sr1 Sr 0.138 0.000 0.363
U1 U 0.132 0.500 0.915
Se1 Se 0.055 0.500 0.202
Se2 Se 0.158 0.500 0.601
Se3 Se 0.170 0.000 0.990
```

Record 5
VASP calculation (PBE-GGA) on a geometry-optimized LuAlZn2 structure.

## Properties
offset from the most stable computed form: 10 meV/atom
E_tot: -47.6 eV/cell
size of the total moment: 0.000 μB/atom
mass density: 7.7 g/cm³
formation energy: -0.274 eV per atom

CIF file:
```
data_LuAlZn2
_chemical_formula_sum 'Lu4 Al4 Zn8'
_symmetry_space_group_name_H-M 'F m -3 m'
_symmetry_Int_Tables_number 225
_symmetry_space_group_name_Hall '-F 4 2 3'
_cell_length_a 6.608
_cell_length_b 6.608
_cell_length_c 6.608
_cell_angle_alpha 90.00
_cell_angle_beta 90.00
_cell_angle_gamma 90.00
loop_
_atom_site_label
_atom_site_type_symbol
_atom_site_fract_x
_atom_site_fract_y
_atom_site_fract_z
Lu1 Lu 0.000 0.000 0.000
Al1 Al 0.000 0.000 0.500
Zn1 Zn 0.250 0.250 0.250
```

Record 6
VASP calculation (PBE-GGA) on a geometry-optimized AsHOsPd structure.

## Properties
offset from the most stable computed form: 62 meV/atom
E_tot: -71.3 eV/cell
size of the total moment: 0.000 μB/atom
mass density: 10.8 g/cm³

CIF file:
```
data_AsHOsPd
_chemical_formula_sum 'As3 H3 Os3 Pd3'
_symmetry_space_group_name_H-M 'R 3 m'
_symmetry_Int_Tables_number 160
_symmetry_space_group_name_Hall 'R 3 -2"'
_cell_length_a 2.9202
_cell_length_b 2.9202
_cell_length_c 23.3439
_cell_angle_alpha 90.00
_cell_angle_beta 90.00
_cell_angle_gamma 120.00
loop_
_atom_site_label
_atom_site_type_symbol
_atom_site_fract_x
_atom_site_fract_y
_atom_site_fract_z
As1 As 0.0000 0.0000 0.0000
H1 H 0.0000 0.0000 0.5393
Os1 Os 0.0000 0.0000 0.4106
Pd1 Pd 0.0000 0.0000 0.8434
```